# 1
Below is MnIrW2 at its PBEsol-relaxed geometry, with properties calculated at the SCAN level.

```
MnIrW2
1.0
0.0000 3.0631 3.0631
3.0631 0.0000 3.0631
3.0631 3.0631 0.0000
Mn Ir W
1 1 2
Cartesian
0.0000 0.0000 0.0000
3.0631 3.0631 3.0631
1.5316 1.5316 1.5316
4.5947 4.5947 4.5947
```

Computed properties:
**Energy relative to the lowest polymorph listed for this composition**: 0.327 eV per atom
**Formation energy from the elements**: 0.19 eV per atom
**Density**: 17.8 g/cm3

***

# 2
Below is TbNi2Sb2 at its PBEsol-relaxed geometry, with properties calculated at the SCAN level.

```
TbNi2Sb2
1.0
4.3793 0.0000 0.0000
0.0000 4.3793 0.0000
0.0000 0.0000 9.7676
Tb Ni Sb
2 4 4
Cartesian
1.0948 1.0948 2.3091
3.2845 3.2845 7.4586
1.0948 1.0948 6.1115
1.0948 3.2845 0.0000
3.2845 1.0948 0.0000
3.2845 3.2845 3.6561
1.0948 1.0948 8.5376
1.0948 3.2845 4.8838
3.2845 1.0948 4.8838
3.2845 3.2845 1.2300
```

Computed properties:
**Uncorrected formation energy**: -0.64 eV per atom
**Density**: 9.2 g/cm3

***

# 3
Below is V3ReH at its PBEsol-relaxed geometry, with properties calculated at the SCAN level.

```
V3ReH
1.0
3.8253 0.0000 0.0000
0.0000 3.8253 0.0000
0.0000 0.0000 3.8253
V Re H
3 1 1
Cartesian
0.0000 0.0000 1.9126
0.0000 1.9126 0.0000
1.9126 0.0000 0.0000
1.9126 1.9126 1.9126
0.0000 0.0000 0.0000
```

Computed properties:
**Density**: 10.1 g/cm3

***

# 4
Below is KTeAu2 at its PBEsol-relaxed geometry, with properties calculated at the SCAN level.

```
KTeAu2
1.0
-2.3561 2.3561 4.0793
2.3561 -2.3561 4.0793
2.3561 2.3561 -4.0793
K Te Au
1 1 2
Cartesian
0.0000 0.0000 0.0000
0.0000 2.3561 2.0396
2.3561 0.0000 2.0396
0.0000 0.0000 4.0793
```

Computed properties:
**Uncorrected formation energy**: 0.01 eV per atom
**Density**: 10.3 g/cm3

***

# 5
Below is ZnReRh at its PBEsol-relaxed geometry, with properties calculated at the SCAN level.

```
ZnReRh
1.0
2.7101 0.0000 0.0000
-1.3550 2.3470 0.0000
0.0000 0.0000 6.5406
Zn Re Rh
1 1 1
Cartesian
0.0000 0.0000 0.0000
0.0000 1.5647 4.2760
1.3550 0.7823 2.1667
```

Computed properties:
**Energy relative to the lowest polymorph listed for this composition**: 0.000 eV per atom
**Formation energy from the elements**: -0.04 eV per atom
**Density**: 14.2 g/cm3

***

# 6
Below is MnRuCl3 at its PBEsol-relaxed geometry, with properties calculated at the SCAN level.

```
MnRuCl3
1.0
4.6844 0.0000 0.0000
0.0000 4.6844 0.0000
0.0000 0.0000 4.6844
Mn Ru Cl
1 1 3
Cartesian
0.0000 0.0000 0.0000
2.3422 2.3422 2.3422
0.0000 2.3422 2.3422
2.3422 0.0000 2.3422
2.3422 2.3422 0.0000
```

Computed properties:
**Uncorrected formation energy**: -0.17 eV per atom
**Density**: 4.2 g/cm3

***

# 7
Below is RbNaTl2Pd at its PBEsol-relaxed geometry, with properties calculated at the SCAN level.

```
RbNaTl2Pd
1.0
5.2715 0.0000 0.0000
0.0000 5.2715 0.0000
0.0000 0.0000 5.6281
Rb Na Tl Pd
1 1 2 1
Cartesian
0.0000 0.0000 0.0000
2.6358 2.6358 0.0000
0.0000 2.6358 2.8141
2.6358 0.0000 2.8141
2.6358 2.6358 2.8141
```

Computed properties:
**Formation energy from the elements**: -0.20 eV per atom
**Density**: 6.6 g/cm3

***

# 8
Below is KFe2Ni at its PBEsol-relaxed geometry, with properties calculated at the SCAN level.

```
KFe2Ni
1.0
-1.2590 2.4914 5.0251
1.2590 -2.4914 5.0251
1.2590 2.4914 -5.0251
K Fe Ni
1 2 1
Cartesian
0.0000 0.0000 0.0000
1.2590 0.0000 2.9528
0.0000 2.4914 2.0723
0.0000 0.0000 5.0251
```

Computed properties:
**Energy relative to the lowest polymorph listed for this composition**: 0.221 eV per atom
**Formation energy from the elements**: 0.82 eV per atom
**Density**: 5.5 g/cm3

***

# 9
Below is Zn2PtPb at its PBEsol-relaxed geometry, with properties calculated at the SCAN level.

```
Zn2PtPb
1.0
-1.7129 2.4482 4.3247
1.7129 -2.4482 4.3247
1.7129 2.4482 -4.3247
Zn Pt Pb
2 1 1
Cartesian
0.0000 0.0000 1.9302
0.0000 0.0000 6.7193
1.7129 0.0000 0.0000
0.0000 2.4482 0.0000
```

Computed properties:
**Formation energy from the elements**: 0.03 eV per atom
**Density**: 12.2 g/cm3

***

# 10
Below is GaSi3As at its PBEsol-relaxed geometry, with properties calculated at the SCAN level.

```
GaSi3As
1.0
4.7215 0.0000 0.0000
0.0000 4.7215 0.0000
0.0000 0.0000 4.7215
Ga Si As
1 3 1
Cartesian
0.0000 0.0000 0.0000
0.0000 2.3607 2.3607
2.3607 0.0000 2.3607
2.3607 2.3607 0.0000
2.3607 2.3607 2.3607
```

Computed properties:
**Uncorrected formation energy**: 1.21 eV per atom
**Density**: 3.6 g/cm3

***

# 11
Below is CoPb at its PBEsol-relaxed geometry, with properties calculated at the SCAN level.

```
CoPb
1.0
2.2832 -2.2930 0.0000
2.2832 2.2930 0.0000
0.0000 0.0000 3.2366
Co Pb
1 1
Cartesian
0.0000 0.0000 0.0000
2.2832 0.0000 1.6183
```

Computed properties:
**Formation energy from the elements**: 0.71 eV per atom
**Density**: 13.0 g/cm3

***

# 12
Below is Ca2MgPd2 at its PBEsol-relaxed geometry, with properties calculated at the SCAN level.

```
Ca2MgPd2
1.0
-2.1461 2.9255 4.3966
2.1461 -2.9255 4.3966
2.1461 2.9255 -4.3966
Ca Mg Pd
2 1 2
Cartesian
0.0000 0.0000 1.7570
0.0000 0.0000 7.0362
0.0000 2.9255 0.0000
2.1461 1.3699 0.0000
0.0000 1.5556 4.3966
```

Computed properties:
**Formation energy from the elements**: -0.72 eV per atom
**Density**: 4.8 g/cm3

***

What VASP energy values result from the calculations? In sequence: -228.0; -313.6; -127.2; -183.8; -118.5; -77.9; -203.4; -57.5; -172.9; -60.5; -91.7; -93.5 eV per cell.